The following is a PBE calculation of Al2TlAs after structural relaxation, from Alexandria.

Summary:
Energy of formation from the pure elements ... 0.159 eV/atom
Density of states at the Fermi level ... 0.392 states/eV per atom
Mass density ... 6.255 g/cm3
Space group ... R3m
Energy above the lowest structure with this stoichiometry ... 0.60 eV/f.u.
DFT total energy ... -3.466 eV per atom

Unit cell a=10.110 b=10.110 c=10.110 alpha=18.25 beta=18.25 gamma=18.25
Sites, in units of the cell vectors:
Al (0.000, 0.000, 0.000)
Al (0.263, 0.263, 0.263)
Tl (0.509, 0.509, 0.509)
As (0.730, 0.730, 0.730)

---

The following is a PBE calculation of AlTlAs2 after structural relaxation, from Alexandria.

Summary:
Energy of formation from the pure elements ... 0.341 eV/atom
Density of states at the Fermi level ... 0.352 states/eV per atom
Mass density ... 7.271 g/cm3
Space group ... C2/m
Energy above the lowest structure with this stoichiometry ... 2.07 eV/f.u.
DFT total energy ... -3.511 eV per atom

Unit cell a=5.641 b=5.641 c=3.053 alpha=97.24 beta=97.24 gamma=112.99
Sites, in units of the cell vectors:
Al (0.000, 0.000, 0.000)
Tl (0.500, 0.500, 0.000)
As (0.000, 0.500, 0.500)
As (0.500, 0.000, 0.500)

---

The following is a PBE calculation of AlTlAs3 after structural relaxation, from Alexandria.

Summary:
Energy of formation from the pure elements ... 0.379 eV/atom
Density of states at the Fermi level ... 0.990 states/eV per atom
Mass density ... 6.128 g/cm3
Space group ... Pm-3m
Energy above the lowest structure with this stoichiometry ... 0.00 eV/f.u.
DFT total energy ... -3.632 eV per atom

Unit cell a=4.981 b=4.981 c=4.981 alpha=90.00 beta=90.00 gamma=90.00
Sites, in units of the cell vectors:
Al (0.000, 0.000, 0.000)
Tl (0.500, 0.500, 0.500)
As (0.000, 0.000, 0.500)
As (0.000, 0.500, 0.000)
As (0.500, 0.000, 0.000)

---

The following is a PBE calculation of AlTlAs2 after structural relaxation, from Alexandria.

Summary:
Energy of formation from the pure elements ... 0.114 eV/atom
Density of states at the Fermi level ... 0.322 states/eV per atom
Mass density ... 6.251 g/cm3
Space group ... Pmm2
Energy above the lowest structure with this stoichiometry ... 1.16 eV/f.u.
DFT total energy ... -3.738 eV per atom

Unit cell a=3.833 b=4.203 c=6.286 alpha=90.00 beta=90.00 gamma=90.00
Sites, in units of the cell vectors:
Al (0.000, 0.000, 0.000)
Tl (0.000, 0.500, 0.396)
As (0.500, 0.000, 0.715)
As (0.500, 0.500, 0.967)

---

The following is a PBE calculation of AlTlAs2 after structural relaxation, from Alexandria.

Summary:
Energy of formation from the pure elements ... -0.176 eV/atom
Density of states at the Fermi level ... 0.007 states/eV per atom
Mass density ... 5.802 g/cm3
Space group ... I-42d
Energy above the lowest structure with this stoichiometry ... 0.00 eV/f.u.
DFT total energy ... -4.028 eV per atom

Unit cell a=7.356 b=7.356 c=7.356 alpha=131.56 beta=131.56 gamma=70.93
Sites, in units of the cell vectors:
Al (0.000, 0.000, 0.000)
Al (0.750, 0.250, 0.500)
Tl (0.250, 0.750, 0.500)
Tl (0.500, 0.500, 0.000)
As (0.089, 0.625, 0.964)
As (0.375, 0.339, 0.464)
As (0.661, 0.125, 0.036)
As (0.875, 0.911, 0.536)

---

The following is a PBE calculation of AlTlAs after structural relaxation, from Alexandria.

Summary:
Energy of formation from the pure elements ... 0.060 eV/atom
Density of states at the Fermi level ... 0.435 states/eV per atom
Mass density ... 6.741 g/cm3
Space group ... I4mm
Energy above the lowest structure with this stoichiometry ... 0.54 eV/f.u.
DFT total energy ... -3.526 eV per atom

Unit cell a=6.415 b=6.415 c=6.415 alpha=147.62 beta=147.62 gamma=46.45
Sites, in units of the cell vectors:
Al (0.000, 0.000, 0.000)
Tl (0.276, 0.276, 0.000)
As (0.549, 0.549, 0.000)